Entry 1:
Compound: ReTe2Se
Source: Alexandria via LeMat-Bulk
Functional: PBE
Structure: relaxed

```
data_ReTe2Se
_symmetry_space_group_name_H-M 'I m m 2'
_symmetry_Int_Tables_number 44
_symmetry_space_group_name_Hall 'I 2 -2'
_cell_length_a 3.1838
_cell_length_b 4.9350
_cell_length_c 12.6076
_cell_angle_alpha 90.00
_cell_angle_beta 90.00
_cell_angle_gamma 90.00
loop_
_atom_site_label
_atom_site_type_symbol
_atom_site_fract_x
_atom_site_fract_y
_atom_site_fract_z
Re1 Re 0.0000 0.0000 0.0000
Te1 Te 0.0000 0.0000 0.4624
Te2 Te 0.0000 0.5000 0.3091
Se1 Se 0.0000 0.5000 0.6496
```

Values from the calculation:
The calculation puts the uncorrected formation energy at 0.362 eV per atom. The spin magnetization comes out at 0.0 μB per formula unit. Its total energy is -0.382 Ry per atom. The crystal system is orthorhombic.

---

Entry 2:
Compound: LiFe2Cl
Source: Alexandria via LeMat-Bulk
Functional: PBE
Structure: relaxed

```
data_LiFe2Cl
_symmetry_space_group_name_H-M 'I m m 2'
_symmetry_Int_Tables_number 44
_symmetry_space_group_name_Hall 'I 2 -2'
_cell_length_a 2.9093
_cell_length_b 4.6892
_cell_length_c 10.0717
_cell_angle_alpha 90.00
_cell_angle_beta 90.00
_cell_angle_gamma 90.00
loop_
_atom_site_label
_atom_site_type_symbol
_atom_site_fract_x
_atom_site_fract_y
_atom_site_fract_z
Li1 Li 0.0000 0.0000 0.0000
Fe1 Fe 0.0000 0.0000 0.4399
Fe2 Fe 0.0000 0.5000 0.1185
Cl1 Cl 0.0000 0.5000 0.7458
```

Values from the calculation:
The calculation puts the uncorrected formation energy at 0.280 eV per atom. The spin magnetization comes out at 5.4 μB per formula unit. The value obtained for the energy above the most stable polymorph in this dataset is 0.463 eV/atom. Its total energy is -0.359 Ry per atom. The crystal system is orthorhombic.

---

Entry 3:
Compound: HgBi2Mo
Source: Alexandria via LeMat-Bulk
Functional: PBE
Structure: relaxed

```
data_HgBi2Mo
_symmetry_space_group_name_H-M 'I -4 2 d'
_symmetry_Int_Tables_number 122
_symmetry_space_group_name_Hall 'I -4 2bw'
_cell_length_a 6.5972
_cell_length_b 6.5972
_cell_length_c 13.3748
_cell_angle_alpha 90.00
_cell_angle_beta 90.00
_cell_angle_gamma 90.00
loop_
_atom_site_label
_atom_site_type_symbol
_atom_site_fract_x
_atom_site_fract_y
_atom_site_fract_z
Hg1 Hg 0.0000 0.0000 0.0000
Bi1 Bi 0.2098 0.2500 0.6250
Mo1 Mo 0.0000 0.0000 0.5000
```

Values from the calculation:
For the formation energy, the calculation gives 789.7 meV/atom. The spin magnetization comes out at 1.9 μB per formula unit. Its total energy is -0.289 Ry per atom. The crystal system is tetragonal.

---

Entry 4:
Compound: CsRb2UF8
Source: Alexandria via LeMat-Bulk
Functional: PBE
Structure: relaxed

```
data_CsRb2UF8
_symmetry_space_group_name_H-M 'I -4 m 2'
_symmetry_Int_Tables_number 119
_symmetry_space_group_name_Hall 'I -4 -2'
_cell_length_a 6.2930
_cell_length_b 6.2930
_cell_length_c 12.7168
_cell_angle_alpha 90.00
_cell_angle_beta 90.00
_cell_angle_gamma 90.00
loop_
_atom_site_label
_atom_site_type_symbol
_atom_site_fract_x
_atom_site_fract_y
_atom_site_fract_z
Cs1 Cs 0.0000 0.0000 0.0000
Rb1 Rb 0.0000 0.0000 0.5000
Rb2 Rb 0.0000 0.5000 0.7500
U1 U 0.0000 0.5000 0.2500
F1 F 0.2015 0.2938 0.3507
```

Values from the calculation:
The calculation puts the uncorrected formation energy at -3.226 eV per atom. The spin magnetization comes out at 1.0 μB per formula unit. Its total energy is -0.415 Ry per atom. The crystal system is tetragonal.

---

Entry 5:
Compound: LaTb2Pr6Er
Source: Alexandria via LeMat-Bulk
Functional: PBE
Structure: relaxed

```
data_LaTb2Pr6Er
_symmetry_space_group_name_H-M 'C 1 2/c 1'
_symmetry_Int_Tables_number 15
_symmetry_space_group_name_Hall '-C 2yc'
_cell_length_a 9.3954
_cell_length_b 15.4030
_cell_length_c 9.8248
_cell_angle_alpha 90.00
_cell_angle_beta 97.39
_cell_angle_gamma 90.00
loop_
_atom_site_label
_atom_site_type_symbol
_atom_site_fract_x
_atom_site_fract_y
_atom_site_fract_z
La1 La 0.0000 0.0266 0.2500
Tb1 Tb 0.2497 0.0490 0.5481
Pr1 Pr 0.0646 0.1807 0.9453
Pr2 Pr 0.0966 0.3930 0.1175
Pr3 Pr 0.2148 0.2229 0.3135
Er1 Er 0.0000 0.4104 0.7500
```

Values from the calculation:
For the formation energy, the calculation gives 111.7 meV/atom. The spin magnetization comes out at 0.0 μB per formula unit. Its total energy is -0.340 Ry per atom. The crystal system is monoclinic.

---

Entry 6:
Compound: MgO2F8
Source: Alexandria via LeMat-Bulk
Functional: PBE
Structure: relaxed

```
data_MgO2F8
_symmetry_space_group_name_H-M 'C 1 2/c 1'
_symmetry_Int_Tables_number 15
_symmetry_space_group_name_Hall '-C 2yc'
_cell_length_a 12.3386
_cell_length_b 7.1374
_cell_length_c 9.4696
_cell_angle_alpha 90.00
_cell_angle_beta 127.55
_cell_angle_gamma 90.00
loop_
_atom_site_label
_atom_site_type_symbol
_atom_site_fract_x
_atom_site_fract_y
_atom_site_fract_z
Mg1 Mg 0.0000 0.1921 0.2500
O1 O 0.2505 0.0191 0.5587
F1 F 0.1069 0.2159 0.5112
F2 F 0.1105 0.3904 0.2315
F3 F 0.1369 0.0153 0.8200
F4 F 0.2245 0.1397 0.1145
```

Values from the calculation:
The calculation puts the uncorrected formation energy at -0.771 eV per atom. The spin magnetization comes out at 1.9 μB per formula unit. Its total energy is -0.234 Ry per atom. The crystal system is monoclinic.

---

Q: Which value of total energy does entry 3 give?
A: -0.289 Ry per atom

---

Q: Which of these has the lowest total energy?
A: CsRb2UF8

---

Q: Which formula does entry 6 have?
A: MgO2F8

---

Copy entry 5 word for word.
Compound: LaTb2Pr6Er
Source: Alexandria via LeMat-Bulk
Functional: PBE
Structure: relaxed

```
data_LaTb2Pr6Er
_symmetry_space_group_name_H-M 'C 1 2/c 1'
_symmetry_Int_Tables_number 15
_symmetry_space_group_name_Hall '-C 2yc'
_cell_length_a 9.3954
_cell_length_b 15.4030
_cell_length_c 9.8248
_cell_angle_alpha 90.00
_cell_angle_beta 97.39
_cell_angle_gamma 90.00
loop_
_atom_site_label
_atom_site_type_symbol
_atom_site_fract_x
_atom_site_fract_y
_atom_site_fract_z
La1 La 0.0000 0.0266 0.2500
Tb1 Tb 0.2497 0.0490 0.5481
Pr1 Pr 0.0646 0.1807 0.9453
Pr2 Pr 0.0966 0.3930 0.1175
Pr3 Pr 0.2148 0.2229 0.3135
Er1 Er 0.0000 0.4104 0.7500
```

Values from the calculation:
For the formation energy, the calculation gives 111.7 meV/atom. The spin magnetization comes out at 0.0 μB per formula unit. Its total energy is -0.340 Ry per atom. The crystal system is monoclinic.